No. 1
Crystalline Nd2Ho2Tm15 at its relaxed geometry, computed with PBE-GGA.

Structure (POSCAR):
```
Nd2Ho2Tm15
1.0
5.544 3.201 5.787
-5.544 3.201 5.787
0.000 -6.402 5.787
Nd Ho Tm
2 2 15
Cartesian
0.000 0.000 2.030
0.000 0.000 15.331
0.000 0.000 5.720
0.000 0.000 11.641
-5.544 0.000 8.681
-1.691 -3.473 5.787
-2.772 1.600 2.894
-3.853 0.272 5.787
-2.667 -1.540 8.209
1.691 -3.473 5.787
-2.162 3.201 5.787
0.000 -3.079 9.152
-2.667 1.540 9.152
2.772 1.601 2.894
2.667 -1.540 8.209
0.000 3.079 8.209
3.853 0.272 5.787
2.162 3.201 5.787
2.667 1.540 9.152
```

Summary:
DFT formation energy	0.294	eV/atom


No. 2
Crystalline NdHoTm at its relaxed geometry, computed with PBE-GGA.

Structure (POSCAR):
```
NdHoTm
1.0
5.655 0.000 0.000
-2.828 4.897 0.000
0.000 0.000 3.466
Nd Ho Tm
1 1 1
Cartesian
0.000 0.000 0.000
2.828 1.632 1.730
0.000 3.265 1.736
```

Summary:
DFT formation energy	0.076	eV/atom


No. 3
Crystalline NdHo8Tm4 at its relaxed geometry, computed with PBE-GGA.

Structure (POSCAR):
```
NdHo8Tm4
1.0
3.614 2.087 8.983
-3.614 2.087 8.983
0.000 -4.174 8.983
Nd Ho Tm
1 8 4
Cartesian
0.000 0.000 0.000
0.000 -1.858 10.757
-1.609 0.929 10.757
0.000 0.000 7.594
-1.609 -0.929 16.193
1.609 0.929 10.757
0.000 0.000 19.356
1.609 -0.929 16.193
0.000 1.858 16.193
-3.614 0.000 13.475
-1.807 1.043 4.492
1.807 1.043 4.492
0.000 0.000 13.475
```

Summary:
DFT formation energy	0.206	eV/atom


Q: The lowest DFT formation energy belongs to which entry?
A: NdHoTm